Entry 1:
A relaxed structure of YEr2Zn9, computed with PBE.

Computed properties:
The density of states at the Fermi level is 0.552 states/eV/atom. As for the formation energy: -0.32 eV/atom. The crystal system is trigonal.

Cell lengths 9.084, 9.084, 9.084 Å; angles 34.74, 34.74, 34.74 degrees
Element x y z (fractional)
1 Y 0.000 0.000 0.000
2 Er 0.140 0.140 0.140
3 Er 0.860 0.860 0.860
4 Zn 0.077 0.586 0.586
5 Zn 0.335 0.335 0.335
6 Zn 0.414 0.414 0.923
7 Zn 0.414 0.923 0.414
8 Zn 0.500 0.500 0.500
9 Zn 0.586 0.077 0.586
10 Zn 0.586 0.586 0.077
11 Zn 0.665 0.665 0.665
12 Zn 0.923 0.414 0.414



Entry 2:
A relaxed structure of Y2ErZn6, computed with PBE.

Computed properties:
The density of states at the Fermi level is 0.708 states/eV/atom. As for the formation energy: -0.39 eV/atom. The crystal system is hexagonal.

Cell lengths 7.728, 7.728, 3.512 Å; angles 90.00, 90.00, 120.00 degrees
Element x y z (fractional)
1 Y 0.333 0.667 0.000
2 Y 0.667 0.333 0.000
3 Er 0.000 0.000 0.000
4 Zn 0.000 0.332 0.500
5 Zn 0.000 0.668 0.500
6 Zn 0.332 0.000 0.500
7 Zn 0.332 0.332 0.500
8 Zn 0.668 0.000 0.500
9 Zn 0.668 0.668 0.500



Entry 3:
A relaxed structure of Y2ErZn4, computed with PBE.

Computed properties:
The density of states at the Fermi level is 0.608 states/eV/atom. As for the formation energy: -0.17 eV/atom. The crystal system is tetragonal.

Cell lengths 7.170, 7.170, 7.170 Å; angles 137.91, 137.91, 61.04 degrees
Element x y z (fractional)
1 Y 0.224 0.224 0.000
2 Y 0.776 0.776 0.000
3 Er 0.500 0.500 0.000
4 Zn 0.109 0.609 0.500
5 Zn 0.391 0.891 0.500
6 Zn 0.609 0.109 0.500
7 Zn 0.891 0.391 0.500



Entry 4:
A relaxed structure of YEr3Zn2, computed with PBE.

Computed properties:
The density of states at the Fermi level is 0.578 states/eV/atom. As for the formation energy: -0.24 eV/atom. The energy above the lowest structure with this stoichiometry comes out at 0.0 kJ per mole of atoms. The crystal system is orthorhombic.

Cell lengths 4.962, 8.988, 6.795 Å; angles 90.00, 90.00, 90.00 degrees
Element x y z (fractional)
1 Y 0.000 0.057 0.000
2 Y 0.000 0.943 0.500
3 Er 0.000 0.327 0.648
4 Er 0.000 0.673 0.148
5 Er 0.500 0.178 0.319
6 Er 0.500 0.442 0.965
7 Er 0.500 0.558 0.465
8 Er 0.500 0.822 0.819
9 Zn 0.000 0.352 0.214
10 Zn 0.000 0.648 0.714
11 Zn 0.500 0.148 0.751
12 Zn 0.500 0.852 0.251



Entry 5:
A relaxed structure of Y2ErZn3, computed with PBE.

Computed properties:
The density of states at the Fermi level is 1.082 states/eV/atom. As for the formation energy: -0.36 eV/atom. The crystal system is tetragonal.

Cell lengths 3.567, 3.567, 10.703 Å; angles 90.00, 90.00, 90.00 degrees
Element x y z (fractional)
1 Y 0.000 0.000 0.168
2 Y 0.000 0.000 0.832
3 Er 0.000 0.000 0.500
4 Zn 0.500 0.500 0.000
5 Zn 0.500 0.500 0.338
6 Zn 0.500 0.500 0.662



Entry 6:
A relaxed structure of Y4ErZn, computed with PBE.

Computed properties:
The density of states at the Fermi level is 1.357 states/eV/atom. As for the formation energy: -0.10 eV/atom. The energy above the lowest structure with this stoichiometry comes out at 0.0 kJ per mole of atoms. The crystal system is tetragonal.

Cell lengths 3.564, 3.564, 13.738 Å; angles 90.00, 90.00, 90.00 degrees
Element x y z (fractional)
1 Y 0.000 0.000 0.130
2 Y 0.000 0.000 0.870
3 Y 0.500 0.500 0.319
4 Y 0.500 0.500 0.681
5 Er 0.000 0.000 0.500
6 Zn 0.500 0.500 0.000